Record 1
The following is a DFT calculation (GGA-PBE) of a relaxed ZrTaBr2 crystal.

Cell: 3.0890 6.0021 9.3462 Å, 90.00 90.00 90.00°
With the nearest neighbours (Å) after each atom.
Space group Immm (No. 71)
Symmetry-distinct sites (fractional):
Zr 0.0000 0.0000 0.0000 x2  4 Br 2.88, 2 Zr 3.09
Ta 0.0000 0.0000 0.5000 x2  4 Br 2.72
Br 0.0000 0.5000 0.2397 x4  2 Ta 2.72, 2 Zr 2.88

total magnetization = 0.00 μB per atom
mass density = 8.279 Mg/m³
distance to the lowest polymorph of the same formula = 758 meV per atom
formation energy without anion corrections = 0.209 eV/atom
E = -5.73 eV per atom



Record 2
The following is a DFT calculation (GGA-PBE) of a relaxed AgRh crystal.

Cell: 4.7217 5.8092 9.4236 Å, 90.00 90.00 90.00°
With the nearest neighbours (Å) after each atom.
Space group P2_12_12_1 (No. 19)
Symmetry-distinct sites (fractional):
Ag 0.1758 0.0145 0.1227 x4  4 Ag 2.72-2.85, 6 Rh 2.76-3.01
Ag 0.1788 0.2418 0.8699 x4  4 Ag 2.72-2.85, 7 Rh 2.81-2.94
Rh 0.1814 0.5396 0.1131 x4  3 Rh 2.61-2.68, 5 Ag 2.76-2.89
Rh 0.1839 0.7477 0.8674 x4  3 Rh 2.61-2.68, 6 Ag 2.77-2.87

total magnetization = 0.23 μB per atom
mass density = 10.832 Mg/m³
calculated formation energy = 331 meV per atom
E = -4.77 eV per atom



Record 3
The following is a DFT calculation (GGA-PBE) of a relaxed La5AgS8 crystal.

Cell: 8.6927 8.6927 8.7815 Å, 90.00 90.00 90.00°
With the nearest neighbours (Å) after each atom.
Space group I-4 (No. 82)
Symmetry-distinct sites (fractional):
La 0.0000 0.0000 0.0000 x2  8 S 2.90-3.09
La 0.1332 0.2494 0.3824 x8  7 S 2.88-3.16
Ag 0.0000 0.5000 0.7500 x2  4 S 2.88
S 0.0679 0.1795 0.7039 x8  1 Ag 2.88, 4 La 2.89-3.10
S 0.0781 0.3173 0.0665 x8  5 La 2.88-3.16

total magnetization = 0.00 μB per atom
mass density = 5.300 Mg/m³
formation energy without anion corrections = -1.948 eV/atom
E = -6.27 eV per atom



Record 4
The following is a DFT calculation (GGA-PBE) of a relaxed Mg2BiRh crystal.

Cell: 4.3757 4.3757 4.1160 Å, 90.00 90.00 90.00°
With the nearest neighbours (Å) after each atom.
Space group P4/mmm (No. 123)
Symmetry-distinct sites (fractional):
Mg 0.0000 0.5000 0.0000 x2  4 Rh 3.00, 4 Bi 3.00, 4 Mg 3.09
Bi 0.0000 0.0000 0.5000 x1  8 Mg 3.00, 4 Rh 3.09
Rh 0.5000 0.5000 0.5000 x1  8 Mg 3.00, 4 Bi 3.09

total magnetization = 0.00 μB per atom
mass density = 7.596 Mg/m³
calculated formation energy = -208 meV per atom
E = -3.81 eV per atom



Record 5
The following is a DFT calculation (GGA-PBE) of a relaxed Ce2GaCu3Ni12 crystal.

Cell: 6.2167 6.2167 23.5755 Å, 90.00 90.00 120.00°
With the nearest neighbours (Å) after each atom.
Space group R-3m (No. 166, hexagonal axes)
Symmetry-distinct sites (fractional):
Ce 0.0000 0.0000 0.1396 x6  6 Ni 2.57-2.58
Ga 0.0000 0.0000 0.5000 x3  6 Ni 2.45
Cu 0.0000 0.5000 0.0000 x9  6 Ni 2.33-2.53
Ni 0.0397 0.5199 0.8929 x18  2 Ni 2.44, 1 Ga 2.45, 1 Cu 2.53, 1 Ce 2.58
Ni 0.0798 0.5399 0.6196 x18  2 Cu 2.33, 4 Ni 2.36-2.44, 1 Ce 2.57

total magnetization = 0.00 μB per atom
mass density = 7.859 Mg/m³
calculated formation energy = 140 meV per atom
E = -5.22 eV per atom



Record 6
The following is a DFT calculation (GGA-PBE) of a relaxed CeEr5 crystal.

Cell: 4.9697 14.8853 4.9598 Å, 90.00 90.00 90.00°
With the nearest neighbours (Å) after each atom.
Space group Cmmm (No. 65)
Symmetry-distinct sites (fractional):
Ce 0.0000 0.0000 0.0000 x2  12 Er 3.49-3.52
Er 0.0000 0.1648 0.5000 x4  2 Ce 3.49, 10 Er 3.49-3.55
Er 0.0000 0.3327 0.0000 x4  10 Er 3.50-3.52, 2 Ce 3.52
Er 0.0000 0.5000 0.5000 x2  8 Er 3.49-3.51, 4 Ce 3.51

total magnetization = 0.18 μB per atom
mass density = 8.838 Mg/m³
calculated formation energy = 55 meV per atom
distance to the lowest polymorph of the same formula = 8 meV per atom
E = -4.74 eV per atom



Record 7
The following is a DFT calculation (GGA-PBE) of a relaxed ReSbPdO2 crystal.

Cell: 3.8855 3.8855 5.9488 Å, 90.00 90.00 90.00°
With the nearest neighbours (Å) after each atom.
Space group P4/mmm (No. 123)
Symmetry-distinct sites (fractional):
Re 0.0000 0.0000 0.0000 x1  4 Sb 2.75
Sb 0.5000 0.5000 0.0000 x1  4 Re 2.75, 2 Pd 2.97
Pd 0.5000 0.5000 0.5000 x1  4 O 1.94
O 0.0000 0.5000 0.5000 x2  2 Pd 1.94

total magnetization = 0.31 μB per atom
mass density = 8.254 Mg/m³
formation energy without anion corrections = 0.842 eV/atom
E = -5.49 eV per atom



Record 8
The following is a DFT calculation (GGA-PBE) of a relaxed Cu2NiRu crystal.

Cell: 3.5897 3.5897 3.8504 Å, 90.00 90.00 90.00°
With the nearest neighbours (Å) after each atom.
Space group P4/mmm (No. 123)
Symmetry-distinct sites (fractional):
Cu 0.0000 0.5000 0.0000 x2  4 Cu 2.54, 4 Ni 2.63, 4 Ru 2.63
Ni 0.0000 0.0000 0.5000 x1  4 Ru 2.54, 8 Cu 2.63
Ru 0.5000 0.5000 0.5000 x1  4 Ni 2.54, 8 Cu 2.63

total magnetization = 0.45 μB per atom
mass density = 9.600 Mg/m³
calculated formation energy = 281 meV per atom
distance to the lowest polymorph of the same formula = 163 meV per atom
E = -5.53 eV per atom



Record 9
The following is a DFT calculation (GGA-PBE) of a relaxed Tb8Th4Sc crystal.

Cell: 7.3700 7.3700 26.4561 Å, 90.00 90.00 120.00°
With the nearest neighbours (Å) after each atom.
Space group R-3m (No. 166, hexagonal axes)
Symmetry-distinct sites (fractional):
Tb 0.0000 0.0000 0.2211 x6  9 Tb 3.63-3.70, 3 Th 3.65
Tb 0.0359 0.5179 0.7709 x18  1 Sc 2.88
Th 0.0000 0.0000 0.0000 x3  6 Tb 3.35, 6 Th 3.68
Th 0.0000 0.5000 0.0000 x9  6 Tb 3.56-3.65, 6 Th 3.68
Sc 0.0000 0.0000 0.5000 x3  6 Tb 2.88

total magnetization = 0.00 μB per atom
mass density = 8.985 Mg/m³
calculated formation energy = 190 meV per atom
E = -5.43 eV per atom



Record 10
The following is a DFT calculation (GGA-PBE) of a relaxed Tb5Mg2Sn4 crystal.

Cell: 4.3439 7.6201 19.9085 Å, 90.00 90.00 90.00°
With the nearest neighbours (Å) after each atom.
Space group Immm (No. 71)
Symmetry-distinct sites (fractional):
Tb 0.0000 0.0000 0.0000 x2  4 Sn 3.12
Tb 0.0000 0.2639 0.3395 x8  4 Sn 3.08-3.23, 2 Mg 3.42
Mg 0.0000 0.5000 0.0741 x4  5 Sn 2.78-3.06, 1 Mg 2.95
Sn 0.0000 0.2057 0.5000 x4  4 Mg 3.06, 4 Tb 3.12-3.23, 1 Sn 3.14
Sn 0.0000 0.5000 0.2136 x4  1 Mg 2.78, 2 Tb 3.08

total magnetization = 0.00 μB per atom
mass density = 6.643 Mg/m³
calculated formation energy = -324 meV per atom
E = -4.17 eV per atom



Record 11
The following is a DFT calculation (GGA-PBE) of a relaxed Dy3Y4Er crystal.

Cell: 5.6113 26.2046 3.5592 Å, 90.00 90.00 90.00°
With the nearest neighbours (Å) after each atom.
Space group Cmmm (No. 65)
Symmetry-distinct sites (fractional):
Dy 0.0000 0.0000 0.0000 x2  4 Er 3.32, 2 Dy 3.56
Dy 0.0000 0.1549 0.5000 x4  2 Dy 3.56, 10 Y 3.59-3.77
Y 0.0000 0.2773 0.0000 x4  3 Y 3.14-3.15
Y 0.0000 0.3972 0.0000 x4  1 Y 3.14, 2 Er 3.23
Er 0.0000 0.5000 0.5000 x2  4 Y 3.23, 4 Dy 3.32, 2 Er 3.56

total magnetization = 0.00 μB per atom
mass density = 6.412 Mg/m³
calculated formation energy = 202 meV per atom
distance to the lowest polymorph of the same formula = 199 meV per atom
E = -5.33 eV per atom



Record 12
The following is a DFT calculation (GGA-PBE) of a relaxed TbScH crystal.

Cell: 6.0341 7.1135 5.4785 Å, 90.00 90.00 90.00°
With the nearest neighbours (Å) after each atom.
Space group Pca2_1 (No. 29)
Symmetry-distinct sites (fractional):
Tb 0.0769 0.1343 0.0000 x4  1 H 2.18
Sc 0.0892 0.6118 0.0158 x4  3 H 2.03-2.08
H 0.0935 0.6086 0.3953 x4  3 Sc 2.03-2.08, 1 Tb 2.18

total magnetization = 0.00 μB per atom
mass density = 5.787 Mg/m³
distance to the lowest polymorph of the same formula = 0 meV per atom
E = -5.08 eV per atom